Entry 1:
Material: Zn2TeBr2O3
Method: DFT, PBE
State: relaxed

SG: Pccn, No. 56
Total moment: 0.00 μB/cell
Formation energy without anion corrections: -1.100 eV/atom
N(E_F): 0.000 states/eV per atom

Cell: 7.8390 10.7651 16.5466 Å, 90.00 90.00 90.00°
Sites, in units of the cell vectors:
Zn 0.3994 0.2356 0.9794
Zn 0.3427 0.9876 0.3939
Zn 0.6573 0.4876 0.8939
Zn 0.6573 0.0124 0.6061
Zn 0.6006 0.7644 0.0206
Zn 0.3994 0.2644 0.5206
Zn 0.8427 0.5124 0.3939
Zn 0.6006 0.7356 0.4794
Zn 0.8427 0.9876 0.1061
Zn 0.1573 0.0124 0.8939
Zn 0.3427 0.5124 0.1061
Zn 0.1006 0.7644 0.4794
Zn 0.8994 0.2356 0.5206
Zn 0.1573 0.4876 0.6061
Zn 0.1006 0.7356 0.0206
Zn 0.8994 0.2644 0.9794
Te 0.7883 0.9684 0.4076
Te 0.2883 0.5316 0.4076
Te 0.7117 0.4684 0.5924
Te 0.2117 0.4684 0.9076
Te 0.2883 0.9684 0.0924
Te 0.7883 0.5316 0.0924
Te 0.2117 0.0316 0.5924
Te 0.7117 0.0316 0.9076
Br 0.3440 0.4153 0.7086
Br 0.9359 0.2968 0.3742
Br 0.1560 0.5847 0.2086
Br 0.5641 0.7032 0.8742
Br 0.1560 0.9153 0.2914
Br 0.4359 0.2968 0.1258
Br 0.0641 0.7032 0.6258
Br 0.6560 0.5847 0.2914
Br 0.9359 0.2032 0.1258
Br 0.6560 0.9153 0.2086
Br 0.3440 0.0847 0.7914
Br 0.8440 0.4153 0.7914
Br 0.4359 0.2032 0.3742
Br 0.8440 0.0847 0.7086
Br 0.0641 0.7968 0.8742
Br 0.5641 0.7968 0.6258
O 0.8569 0.8127 0.4502
O 0.3569 0.6873 0.4502
O 0.6431 0.1873 0.9502
O 0.6999 0.5597 0.4916
O 0.1999 0.9403 0.4916
O 0.4378 0.0942 0.5791
O 0.1999 0.5597 0.0084
O 0.3569 0.8127 0.0498
O 0.5622 0.9058 0.4209
O 0.1431 0.1873 0.5498
O 0.6999 0.9403 0.0084
O 0.6431 0.3127 0.5498
O 0.3001 0.0597 0.9916
O 0.9378 0.4058 0.5791
O 0.5622 0.5942 0.0791
O 0.0622 0.9058 0.0791
O 0.8001 0.0597 0.5084
O 0.3001 0.4403 0.5084
O 0.0622 0.5942 0.4209
O 0.1431 0.3127 0.9502
O 0.8569 0.6873 0.0498
O 0.8001 0.4403 0.9916
O 0.4378 0.4058 0.9209
O 0.9378 0.0942 0.9209



Entry 2:
Material: SrPt2
Method: DFT, PBE
State: relaxed

SG: I4_1/amd, No. 141
Total moment: 0.00 μB/cell
Formation enthalpy at 0 K: -0.6878 eV per atom
N(E_F): 0.661 states/eV per atom

Cell: 8.1697 8.1697 8.1697 Å, 148.52 148.52 45.12°
Sites, in units of the cell vectors:
Sr 0.0000 0.0000 0.0000
Sr 0.7500 0.2500 0.5000
Pt 0.5851 0.5851 0.0000
Pt 0.1649 0.6649 0.5000
Pt 0.4149 0.4149 0.0000
Pt 0.3351 0.8351 0.5000